Computed, not measured: a relaxed structure of PrNpPb2O6 at the PBE level of DFT.

Computed properties:
**Space-group type**: P2_1/c, No. 14
**Formation energy from raw total energies**: -2287.7 meV/atom

Unit cell a=6.0483 b=6.2726 c=8.7651 alpha=90.00 beta=89.70 gamma=90.00
Each line ends with the local moment (μB).
Positions (direct):
Pr 0.5000 0.0000 0.0000  0.00
Pr 0.0000 0.5000 0.5000  0.00
Np 0.5000 0.0000 0.5000  2.20
Np 0.0000 0.5000 0.0000  2.20
Pb 0.0046 0.9661 0.2530  0.01
Pb 0.5046 0.5339 0.7530  0.01
Pb 0.9954 0.0339 0.7470  0.01
Pb 0.4954 0.4661 0.2470  0.01
O 0.2951 0.6778 0.0488  -0.04
O 0.7951 0.8222 0.5488  -0.04
O 0.7049 0.3222 0.9512  -0.04
O 0.2049 0.1778 0.4512  -0.04
O 0.3266 0.7108 0.4442  -0.04
O 0.8266 0.7892 0.9442  -0.04
O 0.6734 0.2892 0.5558  -0.04
O 0.1734 0.2108 0.0558  -0.04
O 0.8909 0.5360 0.2370  -0.04
O 0.3909 0.9640 0.7370  -0.04
O 0.1091 0.4640 0.7630  -0.04
O 0.6091 0.0360 0.2630  -0.04